Entry 1:
Hf2ZrSn | PBE | optimized geometry

CIF file:
```
data_Hf2ZrSn
_chemical_formula_sum 'Hf8 Zr4 Sn4'
_cell_length_a 7.042
_cell_length_b 7.042
_cell_length_c 7.042
_cell_angle_alpha 90.00
_cell_angle_beta 90.00
_cell_angle_gamma 90.00
_symmetry_space_group_name_H-M 'F -4 3 m'
_symmetry_Int_Tables_number 216
_symmetry_space_group_name_Hall 'F -4 2 3'
loop_
_atom_site_label
_atom_site_type_symbol
_atom_site_fract_x
_atom_site_fract_y
_atom_site_fract_z
Hf1 Hf 0.000 0.000 0.000
Hf2 Hf 0.250 0.250 0.250
Zr1 Zr 0.250 0.250 0.750
Sn1 Sn 0.000 0.000 0.500
```

Entry 2:
NdGd2Dy3CoTe2 | PBE | optimized geometry

CIF file:
```
data_NdGd2Dy3CoTe2
_chemical_formula_sum 'Nd2 Gd4 Dy6 Co2 Te4'
_cell_length_a 3.957
_cell_length_b 14.607
_cell_length_c 8.406
_cell_angle_alpha 90.00
_cell_angle_beta 90.00
_cell_angle_gamma 90.00
_symmetry_space_group_name_H-M 'A m m 2'
_symmetry_Int_Tables_number 38
loop_
_symmetry_equiv_pos_as_xyz
'x,y,z'
'-x,-y,z'
'-x,y,z'
'x,-y,z'
'x,y+1/2,z+1/2'
'-x,-y+1/2,z+1/2'
'-x,y+1/2,z+1/2'
'x,-y+1/2,z+1/2'
loop_
_atom_site_label
_atom_site_type_symbol
_atom_site_fract_x
_atom_site_fract_y
_atom_site_fract_z
Nd1 Nd 0.000 0.000 0.000
Gd1 Gd 0.000 0.201 0.606
Dy1 Dy 0.500 0.000 0.638
Dy2 Dy 0.500 0.117 0.289
Co1 Co 0.000 0.000 0.407
Te1 Te 0.500 0.168 0.904
```

no.,E (hartree per atom)
1,-0.30143
2,-0.19396